Entry from the Alexandria database: a relaxed Ru2Pt crystal (PBE).

```
Ru2Pt
1.0
7.2863 0.0001 0.0023
-0.5196 2.7021 0.0000
-2.6324 0.8948 4.4145
Pt Ru
2 4
Direct
0.7270 0.6138 0.4993
0.3286 0.6640 0.0007
0.9958 0.9917 0.0123
0.6708 0.3406 0.9896
0.3848 0.9372 0.5104
0.0598 0.2860 0.4877
```

## Properties
* E above lowest polymorph: 31 meV/atom



Entry from the Alexandria database: a relaxed Ru2Pt crystal (PBE).

```
Ru2Pt
1.0
-1.6938 1.6938 8.4872
1.6938 -1.6938 8.4872
1.6938 1.6938 -8.4872
Ru Pt
4 2
Direct
0.3242 0.8242 0.5000
0.1758 0.6758 0.5000
0.5742 0.5742 0.0000
0.4258 0.4258 0.0000
0.0000 0.0000 0.0000
0.7500 0.2500 0.5000
```

## Properties
* E above lowest polymorph: 628 meV/atom



Entry from the Alexandria database: a relaxed Ru3Pt crystal (PBE).

```
Ru3Pt
1.0
5.1627 -0.0006 0.0000
-0.4598 2.6295 0.0000
-2.3515 -1.3144 4.4041
Pt Ru
1 3
Direct
0.0000 0.0000 0.0000
0.0000 0.5000 0.5000
0.5000 0.5000 0.0000
0.5000 0.0000 0.5000
```



Entry from the Alexandria database: a relaxed RuPt3 crystal (PBE).

```
RuPt3
1.0
-0.5786 2.9555 -4.4459
1.4035 -2.2194 -4.6841
-3.1392 0.0927 4.3557
Pt Ru
3 1
Direct
0.7448 0.7439 0.0008
0.2569 0.2561 0.0008
0.1628 0.5000 0.6628
0.6689 0.0000 0.6689
```



Entry from the Alexandria database: a relaxed RuPt3 crystal (PBE).

```
RuPt3
1.0
2.7949 0.0000 0.0000
-1.3975 4.5886 -0.0036
0.0000 -0.8434 4.7452
Ru Pt
1 3
Direct
0.7500 0.5000 0.2500
0.0041 0.0082 0.0070
0.4959 0.9918 0.4930
0.2500 0.5000 0.7500
```



Entry from the Alexandria database: a relaxed RuPt3 crystal (PBE).

```
RuPt3
1.0
5.5396 0.0000 0.0000
0.0000 4.6194 0.0000
0.0000 0.0000 4.7865
Pt Ru
6 2
Direct
0.0000 0.5000 0.3412
0.2490 0.0000 0.1663
0.2510 0.5000 0.8337
0.5000 0.0000 0.6588
0.7510 0.0000 0.1663
0.7490 0.5000 0.8337
0.0000 0.0000 0.6656
0.5000 0.5000 0.3344
```



Number 1: formation enthalpy at 0 K 0.01 eV per atom. Number 2: formation enthalpy at 0 K 0.61 eV per atom. Number 3: formation enthalpy at 0 K 0.52 eV per atom. Number 4: formation enthalpy at 0 K 0.08 eV per atom. Number 5: formation enthalpy at 0 K 0.02 eV per atom. Number 6: formation enthalpy at 0 K 0.08 eV per atom.